First-principles (GGA+U) data for a relaxed structure of CrGe2F6, as listed in Alexandria via LeMat-Bulk.

Cell: 9.417 11.702 5.471 Å, 90.00 103.21 90.00°
Space group C2/c (No. 15)
Symmetry-distinct sites (fractional):
Cr1 0.000 0.077 0.250 [4 per cell]
Ge1 0.155 0.375 0.149 [8 per cell]
F1 0.092 0.380 0.462 [8 per cell]
F2 0.120 0.065 0.604 [8 per cell]
F3 0.144 0.212 0.160 [8 per cell]

ρ in Mg/m³: 3.52
Total DFT energy (no corrections) in eV/atom: -5.3186